1.
Compound: YSi2Rh4
Source: Alexandria
Functional: PBE
Structure: optimized geometry

Cell lengths 7.6509, 7.6509, 3.7595 Å; angles 90.00, 90.00, 90.00 degrees
Space group P4_2/mnm (No. 136)
Symmetry-distinct sites (fractional):
Y1 0.0000 0.0000 0.0000
Si1 0.2291 0.2291 0.5000
Rh1 0.0729 0.6717 0.5000

Summary:
- Raw formation energy: -599 kJ/mol of formula units
- VASP energy: -105.85 eV per cell
- Size of the total moment: 0.0 Bohr magnetons per cell
- Excess energy over the best structure of this formula in the dataset: 0.017 eV/atom


2.
Compound: YSiRh2
Source: Alexandria
Functional: PBE
Structure: optimized geometry

Cell lengths 3.4607, 3.4607, 5.7937 Å; angles 90.00, 90.00, 90.00 degrees
Space group P4mm (No. 99)
Symmetry-distinct sites (fractional):
Y1 0.0000 0.0000 0.0000
Si1 0.5000 0.5000 0.6528
Rh1 0.0000 0.0000 0.5307
Rh2 0.5000 0.5000 0.2373

Summary:
- Raw formation energy: -224 kJ/mol of formula units
- VASP energy: -28.91 eV per cell
- Size of the total moment: 0.0 Bohr magnetons per cell


Which of these has the highest raw formation energy?
YSiRh2


The highest VASP energy belongs to which entry?
YSiRh2


Which value of VASP energy does entry 2 give?
-28.91 eV per cell